Entry 1:
Crystalline Sr2La4Sn3O2 at its relaxed geometry. Source: the Alexandria database, functional PBE. Values from VASP.

Geometry as Quantum ESPRESSO input:
```
&SYSTEM
  ibrav = 0, nat = 11, ntyp = 4
/
ATOMIC_SPECIES
Sr 87.62 Sr.upf
La 138.91 La.upf
Sn 118.71 Sn.upf
O 16.00 O.upf
CELL_PARAMETERS angstrom
-2.504 2.504 13.232
2.504 -2.504 13.232
2.504 2.504 -13.232
ATOMIC_POSITIONS crystal
Sr 0.199 0.199 0.000
Sr 0.801 0.801 0.000
La 0.086 0.586 0.500
La 0.414 0.914 0.500
La 0.586 0.086 0.500
La 0.914 0.414 0.500
Sn 0.329 0.329 0.000
Sn 0.500 0.500 0.000
Sn 0.671 0.671 0.000
O 0.097 0.097 0.000
O 0.903 0.903 0.000
```

Computed properties:
The calculation puts the calculated density at 5.6 Mg/m³. The value obtained for the total moment is 0.00 Bohr magnetons per cell. The total energy comes out at -5.599 eV/atom.

---

Entry 2:
Crystalline Na3Sm3NpS8 at its relaxed geometry. Source: the Alexandria database, functional PBE. Values from VASP.

Geometry as Quantum ESPRESSO input:
```
&SYSTEM
  ibrav = 0, nat = 15, ntyp = 4
/
ATOMIC_SPECIES
Na 22.99 Na.upf
Sm 150.36 Sm.upf
Np 237.00 Np.upf
S 32.06 S.upf
CELL_PARAMETERS angstrom
4.072 2.351 6.705
-4.072 2.351 6.705
0.000 -4.702 6.705
ATOMIC_POSITIONS crystal
Na 0.000 0.500 0.500
Na 0.500 0.000 0.500
Na 0.500 0.500 0.000
Sm 0.000 0.000 0.500
Sm 0.000 0.500 0.000
Sm 0.500 0.000 0.000
Np 0.500 0.500 0.500
S 0.244 0.244 0.244
S 0.252 0.734 0.734
S 0.266 0.266 0.748
S 0.266 0.748 0.266
S 0.734 0.252 0.734
S 0.734 0.734 0.252
S 0.748 0.266 0.266
S 0.756 0.756 0.756
```

Computed properties:
The calculation puts the calculated density at 4.4 Mg/m³. The value obtained for the total moment is 3.00 Bohr magnetons per cell. The total energy comes out at -5.965 eV/atom.

---

Entry 3:
Crystalline V2AgH2 at its relaxed geometry. Source: the Alexandria database, functional PBE. Values from VASP.

Geometry as Quantum ESPRESSO input:
```
&SYSTEM
  ibrav = 0, nat = 5, ntyp = 3
/
ATOMIC_SPECIES
V 50.94 V.upf
Ag 107.87 Ag.upf
H 1.01 H.upf
CELL_PARAMETERS angstrom
-1.669 1.669 4.513
1.669 -1.669 4.513
1.669 1.669 -4.513
ATOMIC_POSITIONS crystal
V 0.175 0.175 0.000
V 0.825 0.825 0.000
Ag 0.500 0.500 0.000
H 0.250 0.750 0.500
H 0.750 0.250 0.500
```

Computed properties:
The calculation puts the calculated density at 7.0 Mg/m³. The value obtained for the total moment is 0.00 Bohr magnetons per cell. The total energy comes out at -5.498 eV/atom.

---

Entry 4:
Crystalline AcGe2Pd5Pt at its relaxed geometry. Source: the Alexandria database, functional PBE. Values from VASP.

Geometry as Quantum ESPRESSO input:
```
&SYSTEM
  ibrav = 0, nat = 9, ntyp = 4
/
ATOMIC_SPECIES
Ac 227.00 Ac.upf
Ge 72.64 Ge.upf
Pd 106.42 Pd.upf
Pt 195.08 Pt.upf
CELL_PARAMETERS angstrom
4.886 0.000 0.000
0.000 4.886 0.000
0.000 0.000 7.174
ATOMIC_POSITIONS crystal
Ac 0.000 0.000 0.000
Ge 0.500 0.500 0.336
Ge 0.500 0.500 0.664
Pd 0.000 0.500 0.294
Pd 0.000 0.500 0.706
Pd 0.500 0.000 0.294
Pd 0.500 0.000 0.706
Pd 0.500 0.500 0.000
Pt 0.000 0.000 0.500
```

Computed properties:
The calculation puts the formation energy at -0.39 eV per atom. The calculation puts the calculated density at 10.7 Mg/m³. The value obtained for the total moment is 0.00 Bohr magnetons per cell. The total energy comes out at -5.430 eV/atom.